(1)
The following is a DFT calculation (PBE) of a relaxed structure of Tl2CdIn2Hg2.

Cell lengths 5.786, 6.666, 7.810 Å; angles 46.14, 68.26, 64.28 degrees
Element x y z (fractional)
Tl (0.576, 0.127, 0.721)
Tl (0.424, 0.873, 0.279)
Cd (0.000, 0.000, 0.000)
In (0.136, 0.346, 0.383)
In (0.864, 0.654, 0.617)
Hg (0.266, 0.643, 0.825)
Hg (0.734, 0.357, 0.175)

Results
- Formation energy: 2.2 kJ per mole of atoms
- Total magnetization: 0.0 μB per cell
- Raw total energy: -1.652 eV per atom


(2)
The following is a DFT calculation (PBE) of a relaxed structure of Tl2Cd2InHg.

Cell lengths 6.162, 6.133, 9.814 Å; angles 108.21, 108.30, 90.00 degrees
Element x y z (fractional)
Tl (0.686, 0.923, 0.371)
Tl (0.186, 0.448, 0.371)
Tl (0.814, 0.552, 0.629)
Tl (0.314, 0.077, 0.629)
Cd (0.368, 0.626, 0.735)
Cd (0.632, 0.374, 0.265)
Cd (0.132, 0.891, 0.265)
Cd (0.868, 0.109, 0.735)
In (0.250, 0.000, 0.000)
In (0.750, 0.000, 0.000)
Hg (0.750, 0.500, 0.000)
Hg (0.250, 0.500, 0.000)

Results
- Formation energy: 3.6 kJ per mole of atoms
- Total magnetization: 0.0 μB per cell
- Raw total energy: -1.563 eV per atom


(3)
The following is a DFT calculation (PBE) of a relaxed structure of Tl2Cd3In2Hg4.

Cell lengths 5.062, 5.062, 13.604 Å; angles 90.00, 90.00, 120.00 degrees
Element x y z (fractional)
Tl (0.667, 0.333, 0.424)
Tl (0.333, 0.667, 0.576)
Cd (0.000, 0.000, 0.743)
Cd (0.000, 0.000, 0.000)
Cd (0.000, 0.000, 0.257)
In (0.667, 0.333, 0.917)
In (0.333, 0.667, 0.083)
Hg (0.667, 0.333, 0.167)
Hg (0.333, 0.667, 0.833)
Hg (0.667, 0.333, 0.671)
Hg (0.333, 0.667, 0.329)

Results
- Formation energy: 2.9 kJ per mole of atoms
- Total magnetization: 0.0 μB per cell
- Raw total energy: -1.257 eV per atom


(4)
The following is a DFT calculation (PBE) of a relaxed structure of TlCd2In2Hg4.

Cell lengths 4.214, 7.726, 8.230 Å; angles 112.08, 90.00, 105.83 degrees
Element x y z (fractional)
Tl (0.000, 0.000, 0.000)
Cd (0.327, 0.654, 0.999)
Cd (0.673, 0.346, 0.001)
In (0.886, 0.772, 0.337)
In (0.114, 0.228, 0.663)
Hg (0.779, 0.557, 0.669)
Hg (0.221, 0.443, 0.331)
Hg (0.553, 0.106, 0.335)
Hg (0.447, 0.894, 0.665)

Results
- Formation energy: 1.9 kJ per mole of atoms
- Total magnetization: 0.0 μB per cell
- Raw total energy: -1.190 eV per atom


(5)
The following is a DFT calculation (PBE) of a relaxed structure of TlCdInHg3.

Cell lengths 3.518, 8.482, 11.066 Å; angles 90.00, 90.00, 101.97 degrees
Element x y z (fractional)
Tl (0.199, 0.398, 0.250)
Tl (0.801, 0.602, 0.750)
Cd (0.470, 0.940, 0.750)
Cd (0.530, 0.060, 0.250)
In (0.000, 0.000, 0.500)
In (0.000, 0.000, 0.000)
Hg (0.666, 0.333, 0.994)
Hg (0.334, 0.667, 0.006)
Hg (0.334, 0.667, 0.494)
Hg (0.666, 0.333, 0.506)
Hg (0.128, 0.255, 0.750)
Hg (0.872, 0.745, 0.250)

Results
- Formation energy: 1.7 kJ per mole of atoms
- Total magnetization: 0.0 μB per cell
- Raw total energy: -1.137 eV per atom


(6)
The following is a DFT calculation (PBE) of a relaxed structure of TlCdInHg.

Cell lengths 5.373, 5.373, 5.373 Å; angles 60.00, 60.00, 60.00 degrees
Element x y z (fractional)
Tl (0.000, 0.000, 0.000)
Cd (0.750, 0.750, 0.750)
Hg (0.250, 0.250, 0.250)
In (0.500, 0.500, 0.500)

Results
- Formation energy: 5.5 kJ per mole of atoms
- E above lowest polymorph: 38 meV per atom
- Total magnetization: 0.0 μB per cell
- Raw total energy: -1.523 eV per atom


(7)
The following is a DFT calculation (PBE) of a relaxed structure of TlCd2In3Hg6.

Cell lengths 4.997, 7.498, 10.686 Å; angles 123.46, 103.52, 90.00 degrees
Element x y z (fractional)
Tl (0.500, 0.000, 0.000)
Cd (0.829, 0.645, 0.659)
Cd (0.171, 0.355, 0.341)
In (0.500, 0.500, 0.000)
In (0.839, 0.144, 0.677)
In (0.161, 0.856, 0.323)
Hg (0.321, 0.872, 0.643)
Hg (0.670, 0.608, 0.340)
Hg (0.679, 0.128, 0.357)
Hg (0.010, 0.274, 0.021)
Hg (0.990, 0.726, 0.979)
Hg (0.330, 0.392, 0.660)

Results
- Formation energy: 1.6 kJ per mole of atoms
- Total magnetization: 0.0 μB per cell
- Raw total energy: -1.168 eV per atom


(8)
The following is a DFT calculation (PBE) of a relaxed structure of Tl2CdIn4Hg.

Cell lengths 8.996, 8.996, 11.347 Å; angles 129.11, 129.11, 86.46 degrees
Element x y z (fractional)
Tl (0.500, 0.000, 0.000)
Tl (0.500, 0.000, 0.500)
Tl (0.000, 0.000, 0.500)
Tl (0.500, 0.500, 0.000)
Cd (0.500, 0.500, 0.500)
Cd (0.000, 0.000, 0.000)
In (0.236, 0.751, 0.994)
In (0.749, 0.264, 0.506)
In (0.251, 0.736, 0.494)
In (0.764, 0.249, 0.006)
In (0.760, 0.740, 0.986)
In (0.760, 0.740, 0.514)
In (0.240, 0.260, 0.486)
In (0.240, 0.260, 0.014)
Hg (0.000, 0.500, 0.000)
Hg (0.000, 0.500, 0.500)

Results
- Formation energy: 5.7 kJ per mole of atoms
- Total magnetization: 0.0 μB per cell
- Raw total energy: -2.054 eV per atom